No. 1
Here is La4Tb2DyEr after structural relaxation from Alexandria. Energies are from PBE.

Summary:
- DFT formation energy (meV per atom) = 20.1
- volume (Å³ per cell) = 273.4
- space group = Pmmm

```
La4Tb2DyEr
1.0
5.2194 0.0000 0.0000
0.0000 5.2538 0.0000
0.0000 0.0000 9.9690
La Tb Dy Er
4 2 1 1
direct
0.0000 0.0000 0.2493
0.0000 0.0000 0.7507
0.5000 0.5000 0.2494
0.5000 0.5000 0.7506
0.0000 0.5000 0.0000
0.5000 0.0000 0.5000
0.0000 0.5000 0.5000
0.5000 0.0000 0.0000
```

---

No. 2
Here is La3Tb6Dy2Er after structural relaxation from Alexandria. Energies are from PBE.

Summary:
- DFT formation energy (meV per atom) = 21.6
- volume (Å³ per cell) = 395.8
- space group = C2/m

```
La3Tb6Dy2Er
1.0
3.1190 -5.4052 0.0000
3.1190 5.4052 0.0000
-2.0826 0.0000 11.7391
La Tb Dy Er
3 6 2 1
direct
0.0000 0.0000 0.0000
0.3332 0.6668 0.0000
0.6668 0.3332 0.0000
0.0859 0.4190 0.2562
0.2479 0.2479 0.7439
0.4190 0.0859 0.2562
0.5810 0.9141 0.7438
0.7521 0.7521 0.2561
0.9141 0.5810 0.7438
0.1666 0.8334 0.5000
0.8334 0.1666 0.5000
0.5000 0.5000 0.5000
```

---

No. 3
Here is La2Tb3Dy6Er after structural relaxation from Alexandria. Energies are from PBE.

Summary:
- DFT formation energy (meV per atom) = 19.5
- volume (Å³ per cell) = 388.6
- space group = C2/m

```
La2Tb3Dy6Er
1.0
3.1011 -5.3698 0.0000
3.1011 5.3698 0.0000
-2.0618 0.0000 11.6671
La Tb Dy Er
2 3 6 1
direct
0.1663 0.8337 0.0000
0.8337 0.1663 0.0000
0.0000 0.0000 0.5000
0.3336 0.6664 0.5000
0.6664 0.3336 0.5000
0.0831 0.4150 0.7466
0.2532 0.2532 0.2538
0.4150 0.0831 0.7466
0.5850 0.9169 0.2534
0.7468 0.7468 0.7462
0.9169 0.5850 0.2534
0.5000 0.5000 0.0000
```

---

No. 4
Here is La2TbDy3Er6 after structural relaxation from Alexandria. Energies are from PBE.

Summary:
- DFT formation energy (meV per atom) = 23.0
- volume (Å³ per cell) = 382.2
- space group = C2/m

```
La2TbDy3Er6
1.0
3.0883 -5.3463 0.0000
3.0883 5.3463 0.0000
-2.0518 0.0000 11.5746
La Tb Dy Er
2 1 3 6
direct
0.1666 0.8334 0.0000
0.8334 0.1666 0.0000
0.5000 0.5000 0.0000
0.0000 0.0000 0.5000
0.3335 0.6665 0.5000
0.6665 0.3335 0.5000
0.0821 0.4145 0.7456
0.2533 0.2533 0.2545
0.4145 0.0821 0.7456
0.5855 0.9179 0.2544
0.7467 0.7467 0.7455
0.9179 0.5855 0.2544
```

---

No. 5
Here is La2Tb2DyEr2 after structural relaxation from Alexandria. Energies are from PBE.

Summary:
- DFT formation energy (meV per atom) = 83.7
- volume (Å³ per cell) = 468.3
- space group = C2/m

```
La2Tb2DyEr2
1.0
11.7752 0.0000 0.0000
0.0000 3.5293 0.0000
-3.9454 0.0000 11.2693
La Tb Dy Er
4 4 2 4
direct
0.1701 0.0000 0.0833
0.3299 0.5000 0.9167
0.6701 0.5000 0.0833
0.8299 0.0000 0.9167
0.0493 0.0000 0.7665
0.4507 0.5000 0.2335
0.5493 0.5000 0.7665
0.9507 0.0000 0.2335
0.0000 0.5000 0.5000
0.5000 0.0000 0.5000
0.2269 0.5000 0.3671
0.2731 0.0000 0.6329
0.7269 0.0000 0.3671
0.7731 0.5000 0.6329
```

---

No. 6
Here is La3Tb6DyEr2 after structural relaxation from Alexandria. Energies are from PBE.

Summary:
- DFT formation energy (meV per atom) = 22.6
- volume (Å³ per cell) = 394.9
- space group = C2/m

```
La3Tb6DyEr2
1.0
3.1159 -5.3999 0.0000
3.1159 5.3999 0.0000
-2.0816 0.0000 11.7340
La Tb Dy Er
3 6 1 2
direct
0.0000 0.0000 0.0000
0.3330 0.6670 0.0000
0.6670 0.3330 0.0000
0.0855 0.4190 0.2566
0.2474 0.2474 0.7436
0.4190 0.0855 0.2566
0.5810 0.9145 0.7434
0.7526 0.7526 0.2564
0.9145 0.5810 0.7434
0.5000 0.5000 0.5000
0.1667 0.8333 0.5000
0.8333 0.1667 0.5000
```

---

No. 7
Here is LaTb2DyEr5 after structural relaxation from Alexandria. Energies are from PBE.

Summary:
- DFT formation energy (meV per atom) = 278.6
- volume (Å³ per cell) = 582.8
- space group = I4/mcm

```
LaTb2DyEr5
1.0
-4.4257 4.4257 7.4392
4.4257 -4.4257 7.4392
4.4257 4.4257 -7.4392
La Tb Dy Er
2 4 2 10
direct
0.2500 0.2500 0.0000
0.7500 0.7500 0.0000
0.1139 0.6139 0.7278
0.3861 0.1139 0.5000
0.6139 0.8861 0.5000
0.8861 0.3861 0.2722
0.2500 0.7500 0.5000
0.7500 0.2500 0.5000
0.0000 0.0000 0.0000
0.0737 0.1623 0.5000
0.1623 0.6623 0.0886
0.3377 0.4263 0.5000
0.4263 0.9263 0.0886
0.5000 0.5000 0.0000
0.5737 0.0737 0.9114
0.6623 0.5737 0.5000
0.8377 0.3377 0.9114
0.9263 0.8377 0.5000
```

---

No. 8
Here is La5TbDy2Er after structural relaxation from Alexandria. Energies are from PBE.

Summary:
- DFT formation energy (meV per atom) = 305.5
- volume (Å³ per cell) = 634.3
- space group = I4/mcm

```
La5TbDy2Er
1.0
-4.4603 4.4603 7.9704
4.4603 -4.4603 7.9704
4.4603 4.4603 -7.9704
La Tb Dy Er
10 2 4 2
direct
0.0000 0.0000 0.0000
0.0660 0.5660 0.9163
0.1497 0.0660 0.5000
0.3503 0.8503 0.9163
0.4340 0.3503 0.5000
0.5000 0.5000 0.0000
0.5660 0.6497 0.5000
0.6497 0.1497 0.0837
0.8503 0.9340 0.5000
0.9340 0.4340 0.0837
0.2500 0.2500 0.0000
0.7500 0.7500 0.0000
0.1166 0.3834 0.5000
0.3834 0.8834 0.2668
0.6166 0.1166 0.7332
0.8834 0.6166 0.5000
0.2500 0.7500 0.5000
0.7500 0.2500 0.5000
```